[1]
Entry from Alexandria: an optimized crystal structure of P2RuSeS (GGA-PBE).

Unit cell a=4.639 b=4.639 c=4.498 alpha=90.00 beta=90.00 gamma=90.00
Fractional positions:
1 P 0.000 0.500 0.000
2 P 0.500 0.000 0.000
3 Ru 0.000 0.000 0.000
4 Se 0.500 0.500 0.500
5 S 0.000 0.000 0.500

Output
* energy above the most stable polymorph in this dataset: 0 meV per atom
* Fermi-level density of states: 1.19 states/eV per atom


[2]
Entry from Alexandria: an optimized crystal structure of CdTcSb2As (GGA-PBE).

Unit cell a=5.471 b=5.471 c=4.627 alpha=90.00 beta=90.00 gamma=90.00
Fractional positions:
1 Cd 0.000 0.000 0.000
2 Tc 0.500 0.500 0.000
3 Sb 0.000 0.500 0.500
4 Sb 0.500 0.000 0.500
5 As 0.500 0.500 0.500

Output
* Fermi-level density of states: 0.90 states/eV per atom


Energy relative to the elements, uncorrected, respectively: 609 896 meV per atom.
Calculated total energy, respectively: -4.932 -3.939 eV/atom.
Total magnetic moment, respectively: 0.00 1.04 μB/f.u..